No. 1
Ti3AlTe PBE relaxed; theoretical density = 4.09 g/cm3; ΔE to the lowest computed polymorph = 188 meV/atom; crystal system = cubic; total DFT energy (no corrections) = -5.40 eV per atom; spin magnetization = 0.191 μB per atom
1.0
4.947 0.000 0.000
0.000 4.947 0.000
0.000 0.000 4.947
Ti Al Te
3 1 1
Direct
0.000 0.000 0.500
0.000 0.500 0.000
0.500 0.000 0.000
0.500 0.500 0.500
0.000 0.000 0.000

No. 2
AlTl4Te PBE relaxed; theoretical density = 8.42 g/cm3; crystal system = cubic; total DFT energy (no corrections) = -2.49 eV per atom; spin magnetization = 0.000 μB per atom
1.0
0.000 4.576 4.576
4.576 0.000 4.576
4.576 4.576 0.000
Al Tl Te
1 4 1
Direct
0.000 0.000 0.000
0.375 0.375 0.375
0.375 0.375 0.875
0.375 0.875 0.375
0.875 0.375 0.375
0.750 0.750 0.750

No. 3
AlTl2Te PBE relaxed; theoretical density = 8.13 g/cm3; ΔE to the lowest computed polymorph = 14 meV/atom; crystal system = tetragonal; total DFT energy (no corrections) = -2.93 eV per atom; spin magnetization = 0.000 μB per atom
1.0
3.908 0.000 0.000
0.000 3.908 0.000
0.000 0.000 7.530
Al Tl Te
1 2 1
Direct
0.000 0.000 0.000
0.000 0.000 0.464
0.500 0.500 0.738
0.500 0.500 0.160

No. 4
Al2Tl3Te4 PBE relaxed; theoretical density = 6.23 g/cm3; crystal system = monoclinic; total DFT energy (no corrections) = -3.35 eV per atom; spin magnetization = 0.000 μB per atom
1.0
8.125 -5.692 0.000
8.125 5.692 0.000
-1.286 0.000 6.784
Al Tl Te
4 6 8
Direct
0.103 0.345 0.083
0.345 0.103 0.583
0.655 0.897 0.417
0.897 0.655 0.917
0.029 0.971 0.250
0.265 0.547 0.556
0.453 0.735 0.944
0.547 0.265 0.056
0.735 0.453 0.444
0.971 0.029 0.750
0.101 0.293 0.450
0.175 0.578 0.059
0.293 0.101 0.950
0.422 0.825 0.441
0.578 0.175 0.559
0.707 0.899 0.050
0.825 0.422 0.941
0.899 0.707 0.550

No. 5
AlTl2Te PBE relaxed; theoretical density = 7.69 g/cm3; ΔE to the lowest computed polymorph = 11 meV/atom; crystal system = monoclinic; total DFT energy (no corrections) = -2.94 eV per atom; spin magnetization = 0.000 μB per atom
1.0
11.610 0.000 0.000
0.000 3.914 0.000
-2.720 0.000 5.352
Al Tl Te
2 4 2
Direct
0.000 0.000 0.000
0.500 0.500 0.000
0.042 0.500 0.449
0.244 0.500 0.115
0.542 0.000 0.449
0.744 0.000 0.115
0.337 0.000 0.703
0.837 0.500 0.703

No. 6
Al2TlTe4 PBE relaxed; theoretical density = 5.24 g/cm3; ΔE to the lowest computed polymorph = 0 meV/atom; crystal system = orthorhombic; total DFT energy (no corrections) = -3.54 eV per atom; spin magnetization = 0.000 μB per atom
1.0
3.362 -6.055 0.000
3.362 6.055 0.000
0.000 0.000 11.975
Al Tl Te
4 2 8
Direct
0.248 0.752 0.000
0.248 0.752 0.500
0.752 0.248 0.000
0.752 0.248 0.500
0.500 0.500 0.250
0.500 0.500 0.750
0.000 0.500 0.329
0.000 0.500 0.671
0.173 0.333 0.000
0.333 0.173 0.500
0.500 0.000 0.171
0.500 0.000 0.829
0.667 0.827 0.500
0.827 0.667 0.000

No. 7
AlTl3Te4 PBE relaxed; theoretical density = 6.32 g/cm3; crystal system = orthorhombic; total DFT energy (no corrections) = -3.24 eV per atom; spin magnetization = 0.000 μB per atom
1.0
9.227 0.000 0.000
0.000 11.458 0.000
0.000 0.000 11.436
Al Tl Te
4 12 16
Direct
0.202 0.250 0.033
0.298 0.750 0.533
0.702 0.250 0.467
0.798 0.750 0.967
0.012 0.563 0.649
0.012 0.937 0.649
0.153 0.750 0.124
0.347 0.250 0.624
0.488 0.063 0.149
0.488 0.437 0.149
0.512 0.563 0.851
0.512 0.937 0.851
0.653 0.750 0.376
0.847 0.250 0.876
0.988 0.063 0.351
0.988 0.437 0.351
0.061 0.750 0.403
0.120 0.049 0.937
0.120 0.451 0.937
0.235 0.250 0.257
0.265 0.750 0.757
0.380 0.549 0.437
0.380 0.951 0.437
0.439 0.250 0.903
0.561 0.750 0.097
0.620 0.049 0.563
0.620 0.451 0.563
0.735 0.250 0.243
0.765 0.750 0.743
0.880 0.549 0.063
0.880 0.951 0.063
0.939 0.250 0.597

No. 8
AlTl2Te PBE relaxed; theoretical density = 7.94 g/cm3; ΔE to the lowest computed polymorph = 116 meV/atom; crystal system = tetragonal; total DFT energy (no corrections) = -2.83 eV per atom; spin magnetization = 0.000 μB per atom
1.0
4.771 0.000 0.000
0.000 4.771 0.000
0.000 0.000 10.358
Al Tl Te
2 4 2
Direct
0.000 0.000 0.000
0.500 0.500 0.500
0.000 0.000 0.500
0.000 0.500 0.250
0.500 0.000 0.750
0.500 0.500 0.000
0.000 0.500 0.750
0.500 0.000 0.250

- Which formula does entry 8 have?
  AlTl2Te

- Which value of theoretical density does entry 7 give?
  6.32 g/cm3